The following is a PBE-GGA calculation of a geometry-optimized NaLiBe2P2 structure, from the Alexandria database.

Cell: 3.6542 3.6542 8.0818 Å, 90.00 90.00 120.00°
Space group P-3m1 (No. 164)
One atom of each set of equivalent atoms:
Na 0.0000 0.0000 0.0000 x1
Li 0.0000 0.0000 0.5000 x1
Be 0.3333 0.6667 0.7177 x2
P 0.3333 0.6667 0.2746 x2

Results
energy of formation from the pure elements: -3.03 eV/f.u.
total magnetization: 0.00 μB/f.u.
E_tot: -4.089 eV/atom

=====

The following is a PBE-GGA calculation of a geometry-optimized Fe3Cu2Ni7 structure, from the Alexandria database.

Cell: 3.719 22.741 3.475 Å, 90.00 90.00 90.00°
Space group Cmmm (No. 65)
One atom of each set of equivalent atoms:
Fe 0.000 0.000 0.000 x2
Fe 0.000 0.154 0.000 x4
Cu 0.000 0.346 0.500 x4
Ni 0.000 0.076 0.500 x4
Ni 0.000 0.223 0.500 x4
Ni 0.000 0.423 0.000 x4
Ni 0.000 0.500 0.500 x2

Results
energy of formation from the pure elements: 2.08 eV/f.u.
total magnetization: 13.04 μB/f.u.
E_tot: -5.997 eV/atom

=====

The following is a PBE-GGA calculation of a geometry-optimized Tb2Ho8Sc structure, from the Alexandria database.

Cell: 17.169 5.399 8.308 Å, 90.00 117.61 90.00°
Space group C2/m (No. 12)
One atom of each set of equivalent atoms:
Tb 0.203 0.000 0.159 x4
Ho 0.015 0.000 0.222 x4
Ho 0.115 0.500 0.933 x4
Ho 0.156 0.000 0.690 x4
Ho 0.161 0.500 0.388 x4
Sc 0.000 0.500 0.500 x2

Results
energy of formation from the pure elements: 1.19 eV/f.u.
relative energy among the computed polymorphs: 0.079 eV/atom
total magnetization: 0.00 μB/f.u.
E_tot: -4.639 eV/atom